LaTcPt | GGA-PBE | optimized geometry

Unit cell a=4.6396 b=4.6396 c=4.6396 alpha=60.00 beta=60.00 gamma=60.00
With the nearest neighbours (Å) after each atom.
Sites, in units of the cell vectors:
La: 0.0000 0.0000 0.0000  4 Tc 2.84, 4 Pt 2.84
Tc: 0.7500 0.7500 0.7500  4 La 2.84
Pt: 0.2500 0.2500 0.2500  4 La 2.84

Values from the calculation:
Its energy of formation is 0.65 eV/atom. The calculation puts the relative energy among the computed polymorphs at 89.1 kJ/mol of atoms.



AlOsRu2 | GGA-PBE | optimized geometry

Unit cell a=2.7264 b=2.7264 c=8.6944 alpha=90.00 beta=90.00 gamma=117.35
With the nearest neighbours (Å) after each atom.
Sites, in units of the cell vectors:
Al: 0.0000 0.0000 0.0000  4 Ru 2.53, 4 Al 2.73
Os: 0.0000 0.0000 0.5000  4 Ru 2.66, 6 Os 2.73-2.83
Ru: 0.5000 0.5000 0.2406  2 Al 2.53, 2 Os 2.66, 4 Ru 2.73
Ru: 0.5000 0.5000 0.7594  2 Al 2.53, 2 Os 2.66, 4 Ru 2.73

Values from the calculation:
Its energy of formation is 0.18 eV/atom.



RbCuBi2W | GGA-PBE | optimized geometry

Unit cell a=5.4187 b=5.4187 c=5.1047 alpha=90.00 beta=90.00 gamma=90.00
With the nearest neighbours (Å) after each atom.
Sites, in units of the cell vectors:
Rb: 0.0000 0.0000 0.0000  8 Bi 3.72, 4 W 3.83
Cu: 0.5000 0.5000 0.5000  2 W 2.55, 4 Bi 2.71
Bi: 0.0000 0.5000 0.5000  2 Cu 2.71
Bi: 0.5000 0.0000 0.5000  2 Cu 2.71
W: 0.5000 0.5000 0.0000  2 Cu 2.55

Values from the calculation:
Its energy of formation is 1.04 eV/atom.



Zn2CdTc | GGA-PBE | optimized geometry

Unit cell a=4.7257 b=4.7257 c=4.7257 alpha=128.19 beta=128.19 gamma=76.32
With the nearest neighbours (Å) after each atom.
Sites, in units of the cell vectors:
Zn: 0.2500 0.7500 0.5000  4 Cd 2.78, 4 Tc 2.78, 4 Zn 2.92
Zn: 0.7500 0.2500 0.5000  4 Cd 2.78, 4 Tc 2.78, 4 Zn 2.92
Cd: 0.0000 0.0000 0.0000  8 Zn 2.78, 4 Tc 2.92
Tc: 0.5000 0.5000 0.0000  8 Zn 2.78, 4 Cd 2.92

Values from the calculation:
Its energy of formation is 0.26 eV/atom.



CaMgZr4 | GGA-PBE | optimized geometry

Unit cell a=6.0279 b=6.0279 c=6.0279 alpha=60.00 beta=60.00 gamma=60.00
With the nearest neighbours (Å) after each atom.
Sites, in units of the cell vectors:
Ca: 0.0000 0.0000 0.0000  12 Zr 3.53, 4 Mg 3.69
Mg: 0.7500 0.7500 0.7500  12 Zr 3.54, 4 Ca 3.69
Zr: 0.3744 0.3744 0.3744  6 Zr 3.00-3.03
Zr: 0.3744 0.3744 0.8767  6 Zr 3.00-3.03
Zr: 0.3744 0.8767 0.3744  6 Zr 3.00-3.03
Zr: 0.8767 0.3744 0.3744  6 Zr 3.00-3.03

Values from the calculation:
Its energy of formation is 0.30 eV/atom.



NbInCoBr2 | GGA-PBE | optimized geometry

Unit cell a=5.2536 b=5.2536 c=4.6543 alpha=90.00 beta=90.00 gamma=90.00
With the nearest neighbours (Å) after each atom.
Sites, in units of the cell vectors:
Nb: 0.0000 0.0000 0.0000  2 Co 2.33
In: 0.5000 0.5000 0.5000  8 Br 3.51, 4 Co 3.71
Co: 0.0000 0.0000 0.5000  2 Nb 2.33
Br: 0.0000 0.5000 0.0000  2 Nb 2.63
Br: 0.5000 0.0000 0.0000  2 Nb 2.63

Values from the calculation:
The value obtained for the uncorrected formation energy is 369 meV per atom.



SrRe2Ni | GGA-PBE | optimized geometry

Unit cell a=3.1430 b=3.1556 c=7.5390 alpha=90.00 beta=90.00 gamma=90.00
With the nearest neighbours (Å) after each atom.
Sites, in units of the cell vectors:
Sr: 0.0000 0.0000 0.0000  4 Sr 3.14-3.16, 4 Ni 3.20, 4 Re 3.36
Re: 0.0000 0.0000 0.4922  4 Re 2.59, 4 Ni 2.64
Re: 0.5000 0.5000 0.6664  4 Re 2.59, 1 Ni 2.72
Ni: 0.5000 0.5000 0.3052  5 Re 2.64-2.72

Values from the calculation:
Its energy of formation is 0.45 eV/atom. The calculation puts the relative energy among the computed polymorphs at 4.7 kJ/mol of atoms.



Pm2Al8Co | GGA-PBE | optimized geometry

Unit cell a=4.2700 b=4.2700 c=11.3274 alpha=90.00 beta=90.00 gamma=90.00
With the nearest neighbours (Å) after each atom.
Sites, in units of the cell vectors:
Pm: 0.0000 0.0000 0.1941  12 Al 3.02-3.06
Pm: 0.0000 0.0000 0.8059  12 Al 3.02-3.06
Al: 0.0000 0.5000 0.0000  8 Al 3.02-3.07, 4 Pm 3.06
Al: 0.0000 0.5000 0.3864  2 Co 2.49, 1 Al 2.57
Al: 0.0000 0.5000 0.6136  2 Co 2.49, 1 Al 2.57
Al: 0.5000 0.0000 0.0000  8 Al 3.02-3.07, 4 Pm 3.06
Al: 0.5000 0.0000 0.3864  2 Co 2.49, 1 Al 2.57
Al: 0.5000 0.0000 0.6136  2 Co 2.49, 1 Al 2.57
Al: 0.5000 0.5000 0.1945  4 Pm 3.02, 8 Al 3.05-3.07
Al: 0.5000 0.5000 0.8055  4 Pm 3.02, 8 Al 3.05-3.07
Co: 0.0000 0.0000 0.5000  8 Al 2.49

Values from the calculation:
Its energy of formation is -0.42 eV/atom.



AgRhBr2 | GGA-PBE | optimized geometry

Unit cell a=7.2149 b=7.2149 c=7.2149 alpha=149.55 beta=149.55 gamma=43.60
With the nearest neighbours (Å) after each atom.
Sites, in units of the cell vectors:
Ag: 0.0000 0.0000 0.0000  4 Br 2.68
Rh: 0.7500 0.2500 0.5000  4 Br 2.68
Br: 0.2500 0.7500 0.5000  4 Rh 2.68
Br: 0.5000 0.5000 0.0000  4 Ag 2.68

Values from the calculation:
The value obtained for the uncorrected formation energy is 305 meV per atom. The calculation puts the relative energy among the computed polymorphs at 37.1 kJ/mol of atoms.



HgSeBr | GGA-PBE | optimized geometry

Unit cell a=7.1756 b=6.3797 c=4.3329 alpha=81.70 beta=61.61 gamma=36.69
With the nearest neighbours (Å) after each atom.
Sites, in units of the cell vectors:
Hg: 0.0000 0.0000 0.0000  2 Se 2.62, 2 Br 2.80
Se: 0.3608 0.3608 0.6392  2 Hg 2.62
Br: 0.6622 0.6622 0.3378  2 Hg 2.80, 2 Se 3.13

Values from the calculation:
The value obtained for the uncorrected formation energy is 48 meV per atom. The calculation puts the relative energy among the computed polymorphs at 32.0 kJ/mol of atoms.



PmScAlPt | GGA-PBE | optimized geometry

Unit cell a=4.9629 b=4.9629 c=4.9629 alpha=60.00 beta=60.00 gamma=60.00
With the nearest neighbours (Å) after each atom.
Sites, in units of the cell vectors:
Pm: 0.0000 0.0000 0.0000  4 Al 3.04, 4 Pt 3.04
Sc: 0.5000 0.5000 0.5000  4 Pt 3.04, 4 Al 3.04
Al: 0.7500 0.7500 0.7500  4 Sc 3.04, 4 Pm 3.04
Pt: 0.2500 0.2500 0.2500  4 Sc 3.04, 4 Pm 3.04

Values from the calculation:
Its energy of formation is -0.66 eV/atom.



DyFeSi2Ir | GGA-PBE | optimized geometry

Unit cell a=5.6442 b=5.6442 c=5.6442 alpha=138.13 beta=138.13 gamma=60.70
With the nearest neighbours (Å) after each atom.
Sites, in units of the cell vectors:
Dy: 0.0000 0.0000 0.0000  8 Si 3.11, 4 Fe 3.16, 4 Ir 3.16
Fe: 0.7500 0.2500 0.5000  4 Si 2.35
Si: 0.3730 0.3730 0.0000  2 Fe 2.35, 2 Ir 2.35, 1 Si 2.47
Si: 0.6270 0.6270 0.0000  2 Fe 2.35, 2 Ir 2.35, 1 Si 2.47
Ir: 0.2500 0.7500 0.5000  4 Si 2.35

Values from the calculation:
The value obtained for the uncorrected formation energy is -897 meV per atom.



So what do the calculations give for V? Going down the list: 70.6; 57.4; 149.9; 63.4; 154.9; 128.5; 74.8; 206.5; 96.2; 93.1; 86.4; 79.2 Å³/f.u..
So what do the calculations give for DOS at the Fermi energy? Going down the list: 4.08; 4.71; 2.60; 2.39; 7.58; 3.73; 4.47; 3.87; 5.13; 3.18; 2.06; 2.60 states/eV per cell.